Record 1
RbOsF3 | Alexandria via LeMat-Bulk | GGA-PBE | relaxed; space-group type = Pm-3m (221); N(E_F) = 4.2 states/eV per cell; magnetization = 0.2 μB per formula unit; raw formation energy = -1246 meV per atom
1.0
4.313 0.000 0.000
0.000 4.313 0.000
0.000 0.000 4.313
Os F Rb
1 3 1
Direct
0.000 0.000 0.000
0.000 0.000 0.500
0.000 0.500 0.000
0.500 0.000 0.000
0.500 0.500 0.500

***

Record 2
NpPa3Pt6 | Alexandria via LeMat-Bulk | GGA-PBE | relaxed; space-group type = P2_1/m (11); N(E_F) = 30.7 states/eV per cell; magnetization = 4.1 μB per formula unit; calculated formation energy = -0.804 eV/atom
1.0
4.222 0.000 0.000
0.000 11.005 -4.290
0.000 -1.133 9.528
Pt Pa Np
12 6 2
Direct
0.750 0.792 0.938
0.750 0.507 0.756
0.250 0.092 0.595
0.250 0.493 0.244
0.250 0.939 0.865
0.250 0.208 0.062
0.250 0.377 0.541
0.750 0.908 0.405
0.250 0.644 0.980
0.750 0.061 0.135
0.750 0.623 0.459
0.750 0.356 0.020
0.250 0.812 0.527
0.750 0.085 0.818
0.250 0.915 0.182
0.250 0.368 0.835
0.750 0.632 0.165
0.750 0.188 0.473
0.250 0.658 0.683
0.750 0.342 0.317

***

Record 3
Ac4CdHg3 | Alexandria via LeMat-Bulk | GGA-PBE | relaxed; space-group type = I4/mmm (139); N(E_F) = 8.8 states/eV per cell; magnetization = 1.0 μB per formula unit; calculated formation energy = -0.428 eV/atom
1.0
5.523 0.000 -1.491
-0.397 5.514 -1.470
-0.521 -0.598 9.043
Ac Hg Cd
4 3 1
Direct
0.126 0.126 0.251
0.374 0.375 0.749
0.874 0.874 0.749
0.626 0.625 0.251
0.749 0.249 0.499
0.000 0.500 0.000
0.251 0.751 0.501
0.500 0.000 0.000

***

Record 4
KMnCdGa2 | Alexandria via LeMat-Bulk | GGA-PBE | relaxed; space-group type = P4/mmm (123); N(E_F) = 2.9 states/eV per cell; magnetization = 1.5 μB per formula unit; calculated formation energy = 0.085 eV/atom
1.0
-3.620 2.393 1.861
1.127 -1.630 4.286
3.083 4.087 0.743
K Ga Mn Cd
1 2 1 1
Direct
0.500 0.500 0.500
0.000 0.500 0.000
0.500 0.000 0.000
0.000 0.000 0.000
0.000 0.000 0.500